Record 1
{
  "formula": "Li6Cd5Rh",
  "functional": "PBE",
  "state": "optimized geometry",
  "spacegroup": "C2/m, No. 12",
  "lattice": [[7.0155, -3.4977, 0.0000], [7.0155, 3.4977, 0.0000], [-1.3580, 0.0000, 4.1669]],
  "species": ["Li", "Li", "Li", "Li", "Li", "Li", "Cd", "Cd", "Cd", "Cd", "Cd", "Rh"],
  "fractional_positions": [[0.0831, 0.6020, 0.3424], [0.2366, 0.7634, 0.0000], [0.3980, 0.9169, 0.6576], [0.6020, 0.0831, 0.3424], [0.7634, 0.2366, 0.0000], [0.9169, 0.3980, 0.6576], [0.1592, 0.1592, 0.1594], [0.3288, 0.3288, 0.8299], [0.5000, 0.5000, 0.5000], [0.6712, 0.6712, 0.1701], [0.8408, 0.8408, 0.8406], [0.0000, 0.0000, 0.5000]]
}

=====

Record 2
{
  "formula": "Li4Cd5Rh",
  "functional": "PBE",
  "state": "optimized geometry",
  "spacegroup": "P4/mmm, No. 123",
  "lattice": [[3.3498, 0.0000, 0.0000], [0.0000, 3.3498, 0.0000], [0.0000, 0.0000, 15.8141]],
  "species": ["Li", "Li", "Li", "Li", "Cd", "Cd", "Cd", "Cd", "Cd", "Rh"],
  "fractional_positions": [[0.0000, 0.0000, 0.1002], [0.0000, 0.0000, 0.3048], [0.0000, 0.0000, 0.6952], [0.0000, 0.0000, 0.8998], [0.5000, 0.5000, 0.0000], [0.5000, 0.5000, 0.2005], [0.5000, 0.5000, 0.4031], [0.5000, 0.5000, 0.5969], [0.5000, 0.5000, 0.7995], [0.0000, 0.0000, 0.5000]]
}

=====

Record 3
{
  "formula": "Li12CdRh6",
  "functional": "PBE",
  "state": "optimized geometry",
  "spacegroup": "R-3m, No. 166",
  "lattice": [[5.0700, 2.9272, 3.0635], [-5.0700, 2.9272, 3.0635], [0.0000, -5.8543, 3.0635]],
  "species": ["Li", "Li", "Li", "Li", "Li", "Li", "Li", "Li", "Li", "Li", "Li", "Li", "Cd", "Rh", "Rh", "Rh", "Rh", "Rh", "Rh"],
  "fractional_positions": [[0.0000, 0.2599, 0.7401], [0.0000, 0.7401, 0.2599], [0.1824, 0.5808, 0.5808], [0.2599, 0.0000, 0.7401], [0.2599, 0.7401, 0.0000], [0.4192, 0.4192, 0.8176], [0.4192, 0.8176, 0.4192], [0.5808, 0.1824, 0.5808], [0.5808, 0.5808, 0.1824], [0.7401, 0.0000, 0.2599], [0.7401, 0.2599, 0.0000], [0.8176, 0.4192, 0.4192], [0.0000, 0.0000, 0.0000], [0.1546, 0.1546, 0.4190], [0.1546, 0.4190, 0.1546], [0.4190, 0.1546, 0.1546], [0.5810, 0.8454, 0.8454], [0.8454, 0.5810, 0.8454], [0.8454, 0.8454, 0.5810]]
}

=====

Record 4
{
  "formula": "Li2Cd3Rh",
  "functional": "PBE",
  "state": "optimized geometry",
  "spacegroup": "Cmmm, No. 65",
  "lattice": [[2.3362, -7.0369, 0.0000], [2.3362, 7.0369, 0.0000], [0.0000, 0.0000, 6.3782]],
  "species": ["Li", "Li", "Li", "Li", "Cd", "Cd", "Cd", "Cd", "Cd", "Cd", "Rh", "Rh"],
  "fractional_positions": [[0.0000, 0.0000, 0.0000], [0.0000, 0.0000, 0.5000], [0.3379, 0.6621, 0.0000], [0.6621, 0.3379, 0.0000], [0.1699, 0.8301, 0.2539], [0.1699, 0.8301, 0.7461], [0.5000, 0.5000, 0.2555], [0.5000, 0.5000, 0.7445], [0.8301, 0.1699, 0.2539], [0.8301, 0.1699, 0.7461], [0.3361, 0.6639, 0.5000], [0.6639, 0.3361, 0.5000]]
}

=====

Record 5
{
  "formula": "Li2CdRh",
  "functional": "PBE",
  "state": "optimized geometry",
  "spacegroup": "Pmmm, No. 47",
  "lattice": [[2.8029, 0.0000, 0.0000], [0.0000, 3.9397, 0.0000], [0.0000, 0.0000, 5.6126]],
  "species": ["Li", "Li", "Cd", "Rh"],
  "fractional_positions": [[0.0000, 0.0000, 0.2163], [0.0000, 0.0000, 0.7837], [0.5000, 0.5000, 0.5000], [0.5000, 0.5000, 0.0000]]
}

=====

Record 6
{
  "formula": "Li6Cd2Rh",
  "functional": "PBE",
  "state": "optimized geometry",
  "e_above_lowest_polymorph_ev_per_fu": 0.376,
  "spacegroup": "Cmmm, No. 65",
  "lattice": [[3.3108, -5.3590, 0.0000], [3.3108, 5.3590, 0.0000], [0.0000, 0.0000, 4.1521]],
  "species": ["Li", "Li", "Li", "Li", "Li", "Li", "Cd", "Cd", "Rh"],
  "fractional_positions": [[0.0498, 0.3349, 0.0000], [0.2274, 0.2274, 0.5000], [0.3349, 0.0498, 0.0000], [0.6651, 0.9502, 0.0000], [0.7726, 0.7726, 0.5000], [0.9502, 0.6651, 0.0000], [0.3022, 0.6978, 0.5000], [0.6978, 0.3022, 0.5000], [0.5000, 0.5000, 0.0000]]
}

=====

Number 1: energy relative to the elements -0.221 eV per atom, ρ 5.74 g cm⁻³. Number 2: energy relative to the elements -0.232 eV per atom, ρ 6.48 g cm⁻³. Number 3: energy relative to the elements -0.032 eV per atom, ρ 4.95 g cm⁻³. Number 4: energy relative to the elements -0.237 eV per atom, ρ 7.19 g cm⁻³. Number 5: energy relative to the elements -0.144 eV per atom, ρ 6.14 g cm⁻³. Number 6: energy relative to the elements -0.115 eV per atom, ρ 4.16 g cm⁻³.